(1)
The following is a PBE calculation of Ga2TcAg after structural relaxation, from the Alexandria database.

## Properties
Formation enthalpy at 0 K, eV per atom: 0.003
ΔE to the lowest computed polymorph, eV/atom: 0.026

a b c (Å): 2.9172 2.9172 26.1800
angles (deg): 90.00 90.00 120.00
With the nearest neighbours (Å) after each atom.
Space group R-3m (No. 166, hexagonal axes)
Symmetry-distinct sites (fractional):
Ga 0.0000 0.0000 0.2441 x6  3 Tc 2.64, 3 Ag 2.88, 6 Ga 2.92
Tc 0.0000 0.0000 0.5000 x3  6 Ga 2.64, 6 Tc 2.92
Ag 0.0000 0.0000 0.0000 x3  6 Ga 2.88, 6 Ag 2.92



(2)
The following is a PBE calculation of Ga2TcAg after structural relaxation, from the Alexandria database.

## Properties
Formation enthalpy at 0 K, eV per atom: 0.103
ΔE to the lowest computed polymorph, eV/atom: 0.126

a b c (Å): 6.2714 6.2714 6.2714
angles (deg): 90.00 90.00 90.00
With the nearest neighbours (Å) after each atom.
Space group Fm-3m (No. 225)
Symmetry-distinct sites (fractional):
Ga 0.2500 0.2500 0.2500 x8  4 Tc 2.72, 4 Ag 2.72
Tc 0.0000 0.0000 0.0000 x4  8 Ga 2.72
Ag 0.0000 0.0000 0.5000 x4  8 Ga 2.72



(3)
The following is a PBE calculation of Ga6TcAg after structural relaxation, from the Alexandria database.

## Properties
Formation enthalpy at 0 K, eV per atom: 0.099

a b c (Å): 8.1336 8.1336 8.4312
angles (deg): 90.00 90.00 120.00
With the nearest neighbours (Å) after each atom.
Space group R-3m (No. 166, hexagonal axes)
Symmetry-distinct sites (fractional):
Ga 0.0722 0.5361 0.3567 x18  1 Tc 2.44, 1 Ga 2.62
Tc 0.0000 0.0000 0.5000 x3  6 Ga 2.44
Ag 0.0000 0.0000 0.0000 x3  12 Ga 2.86-3.20



(4)
The following is a PBE calculation of Ga2TcAgW after structural relaxation, from the Alexandria database.

## Properties
Formation enthalpy at 0 K, eV per atom: 1.543

a b c (Å): 4.6642 4.6642 5.0375
angles (deg): 90.00 90.00 90.00
With the nearest neighbours (Å) after each atom.
Space group P4/mmm (No. 123)
Symmetry-distinct sites (fractional):
Ga 0.0000 0.5000 0.0000 x2  2 Tc 2.33
Tc 0.0000 0.0000 0.0000 x1  4 Ga 2.33, 2 Ag 2.52
Ag 0.0000 0.0000 0.5000 x1  2 Tc 2.52
W 0.5000 0.5000 0.5000 x1  4 Ag 3.30, 8 Ga 3.43